Record 1
DFT (PBEsol) results for an optimized crystal structure of RbBi2I.

Cell and atoms, written as POSCAR:
```
RbBi2I
1.0
-3.1520 -2.4873 4.1913
-0.2524 -5.7852 0.3960
2.6439 -2.7266 4.3891
Bi I Rb
2 1 1
direct
0.2500 0.2500 0.2500 Bi
0.7500 0.7500 0.7500 Bi
0.5000 0.5000 0.5000 I
0.0000 0.0000 0.0000 Rb
```

Calculated values
**Size of the total moment**: 0.00 μB per cell
**Formation energy from raw total energies**: 0.209 eV/atom
**Symmetry**: Fm-3m, No. 225
**Electronic total energy**: -2.632 eV/atom



Record 2
DFT (PBEsol) results for an optimized crystal structure of RbBi3I.

Cell and atoms, written as POSCAR:
```
RbBi3I
1.0
6.0420 0.0000 0.0000
0.0000 6.0420 0.0000
0.0000 0.0000 6.0420
Bi Rb I
3 1 1
direct
0.0000 0.5000 0.0000 Bi
0.0000 0.0000 0.5000 Bi
0.5000 0.0000 0.0000 Bi
0.5000 0.5000 0.5000 Rb
0.0000 0.0000 0.0000 I
```

Calculated values
**Size of the total moment**: 0.00 μB per cell
**Formation energy from raw total energies**: 0.503 eV/atom
**Symmetry**: Pm-3m, No. 221
**Electronic total energy**: -2.627 eV/atom



Record 3
DFT (PBEsol) results for an optimized crystal structure of RbBiI3.

Cell and atoms, written as POSCAR:
```
RbBiI3
1.0
6.2125 0.0000 0.0000
0.0000 6.2125 0.0000
0.0000 0.0000 6.2125
I Bi Rb
3 1 1
direct
0.0000 0.5000 0.0000 I
0.5000 0.0000 0.0000 I
0.0000 0.0000 0.5000 I
0.0000 0.0000 0.0000 Bi
0.5000 0.5000 0.5000 Rb
```

Calculated values
**Size of the total moment**: 0.00 μB per cell
**Formation energy from raw total energies**: -0.712 eV/atom
**Symmetry**: Pm-3m, No. 221
**Electronic total energy**: -2.834 eV/atom



Record 4
DFT (PBEsol) results for an optimized crystal structure of BiRhI3.

Cell and atoms, written as POSCAR:
```
BiRhI3
1.0
6.0317 0.0000 0.0000
0.0000 6.0317 0.0000
0.0000 0.0000 6.0317
I Rh Bi
3 1 1
direct
0.0000 0.5000 0.0000 I
0.5000 0.0000 0.0000 I
0.0000 0.0000 0.5000 I
0.5000 0.5000 0.5000 Rh
0.0000 0.0000 0.0000 Bi
```

Calculated values
**Size of the total moment**: 1.54 μB per cell
**Formation energy from raw total energies**: 0.933 eV/atom
**Symmetry**: Pm-3m, No. 221
**Electronic total energy**: -2.612 eV/atom



Record 5
DFT (PBEsol) results for an optimized crystal structure of BiRhI2.

Cell and atoms, written as POSCAR:
```
BiRhI2
1.0
5.1986 0.0000 0.0000
2.5993 4.5021 0.0000
2.5993 1.5007 4.2446
Rh Bi I
1 1 2
direct
0.0000 0.0000 0.0000 Rh
0.5000 0.5000 0.5000 Bi
0.7500 0.7500 0.7500 I
0.2500 0.2500 0.2500 I
```

Calculated values
**Size of the total moment**: 0.13 μB per cell
**Formation energy from raw total energies**: 0.533 eV/atom
**Symmetry**: Fm-3m, No. 225
**Electronic total energy**: -3.456 eV/atom



Record 6
DFT (PBEsol) results for an optimized crystal structure of BiRu2RhI.

Cell and atoms, written as POSCAR:
```
BiRu2RhI
1.0
-1.0369 4.8108 0.1242
-2.8570 -0.5131 -3.9760
-4.6665 -1.0960 3.4946
Ru I Bi Rh
2 1 1 1
direct
0.5000 0.0000 0.0000 Ru
0.0000 0.5000 0.0000 Ru
0.0000 0.0000 0.5000 I
0.0000 0.0000 0.0000 Bi
0.5000 0.5000 0.5000 Rh
```

Calculated values
**Size of the total moment**: 4.79 μB per cell
**Formation energy from raw total energies**: 2.400 eV/atom
**Symmetry**: P4/mmm, No. 123
**Electronic total energy**: -4.507 eV/atom



Record 7
DFT (PBEsol) results for an optimized crystal structure of BiSb2RhI.

Cell and atoms, written as POSCAR:
```
BiSb2RhI
1.0
5.0746 0.0000 0.0000
0.0000 5.0746 0.0000
0.0000 0.0000 5.4000
Bi I Sb Rh
1 1 2 1
direct
0.5000 0.5000 0.5000 Bi
0.0000 0.0000 0.5000 I
0.0000 0.5000 0.0000 Sb
0.5000 0.0000 0.0000 Sb
0.0000 0.0000 0.0000 Rh
```

Calculated values
**Size of the total moment**: 0.00 μB per cell
**Formation energy from raw total energies**: 0.268 eV/atom
**Symmetry**: P4/mmm, No. 123
**Electronic total energy**: -4.393 eV/atom



Record 8
DFT (PBEsol) results for an optimized crystal structure of BiTeRuI2.

Cell and atoms, written as POSCAR:
```
BiTeRuI2
1.0
-4.7298 -3.4706 0.6752
3.2949 -4.7356 -1.2608
1.2912 -0.6374 5.7688
I Te Ru Bi
2 1 1 1
direct
0.5000 0.0000 0.0000 I
0.0000 0.5000 0.0000 I
0.0000 0.0000 0.5000 Te
0.5000 0.5000 0.5000 Ru
0.0000 0.0000 0.0000 Bi
```

Calculated values
**Size of the total moment**: 3.31 μB per cell
**Formation energy from raw total energies**: 1.317 eV/atom
**Symmetry**: P4/mmm, No. 123
**Electronic total energy**: -2.987 eV/atom



Record 9
DFT (PBEsol) results for an optimized crystal structure of Bi2SI2.

Cell and atoms, written as POSCAR:
```
Bi2SI2
1.0
4.2891 0.0000 0.0000
0.0000 4.2891 0.0000
-2.1445 -2.1445 9.4477
I Bi S
2 2 1
direct
0.7500 0.2500 0.5000 I
0.2500 0.7500 0.5000 I
0.5740 0.5740 0.1481 Bi
0.4260 0.4260 0.8519 Bi
0.0000 0.0000 0.0000 S
```

Calculated values
**Size of the total moment**: 0.00 μB per cell
**Formation energy from raw total energies**: 0.395 eV/atom
**Symmetry**: I4/mmm, No. 139
**Electronic total energy**: -2.903 eV/atom



Record 10
DFT (PBEsol) results for an optimized crystal structure of BiS2I.

Cell and atoms, written as POSCAR:
```
BiS2I
1.0
-1.9660 -3.1400 -2.0023
-0.4295 -3.7482 1.8711
-7.8321 0.0897 3.1210
S Bi I
2 1 1
direct
0.1072 0.1072 0.6785 S
0.8928 0.8928 0.3215 S
0.5000 0.5000 0.5000 Bi
0.0000 0.0000 0.0000 I
```

Calculated values
**Size of the total moment**: 0.00 μB per cell
**Formation energy from raw total energies**: -0.149 eV/atom
**Symmetry**: R-3m, No. 166
**Electronic total energy**: -3.854 eV/atom



Record 11
DFT (PBEsol) results for an optimized crystal structure of BiSbSI2.

Cell and atoms, written as POSCAR:
```
BiSbSI2
1.0
5.8668 0.0000 0.0000
0.0000 5.8668 0.0000
0.0000 0.0000 6.1417
Bi Sb S I
1 1 1 2
direct
0.0000 0.0000 0.0000 Bi
0.0000 0.0000 0.5000 Sb
0.5000 0.5000 0.5000 S
0.0000 0.5000 0.0000 I
0.5000 0.0000 0.0000 I
```

Calculated values
**Size of the total moment**: 0.14 μB per cell
**Formation energy from raw total energies**: 0.787 eV/atom
**Symmetry**: P4/mmm, No. 123
**Electronic total energy**: -2.565 eV/atom



Record 12
DFT (PBEsol) results for an optimized crystal structure of Bi3SbI.

Cell and atoms, written as POSCAR:
```
Bi3SbI
1.0
-4.4282 -3.6836 -0.7639
3.7434 -4.1976 -1.4585
0.3728 -1.6037 5.5722
Sb Bi I
1 3 1
direct
0.5000 0.5000 0.5000 Sb
0.5000 0.0000 0.0000 Bi
0.0000 0.5000 0.0000 Bi
0.0000 0.0000 0.5000 Bi
0.0000 0.0000 0.0000 I
```

Calculated values
**Size of the total moment**: 0.00 μB per cell
**Formation energy from raw total energies**: 1.063 eV/atom
**Symmetry**: Pm-3m, No. 221
**Electronic total energy**: -2.773 eV/atom



Record 13
DFT (PBEsol) results for an optimized crystal structure of Bi2Sb2I.

Cell and atoms, written as POSCAR:
```
Bi2Sb2I
1.0
-1.0700 3.3734 3.9046
2.1382 -3.3393 3.4710
5.0175 2.6890 -4.5043
I Sb Bi
1 2 2
direct
0.0000 0.0000 0.0000 I
0.3754 0.3754 0.7509 Sb
0.6246 0.6246 0.2491 Sb
0.7500 0.2500 0.5000 Bi
0.2500 0.7500 0.5000 Bi
```

Calculated values
**Size of the total moment**: 0.00 μB per cell
**E above lowest polymorph**: 34 meV/atom
**Formation energy from raw total energies**: 0.049 eV/atom
**Symmetry**: I4/mmm, No. 139
**Electronic total energy**: -3.841 eV/atom



Record 14
DFT (PBEsol) results for an optimized crystal structure of Bi2Sb2I.

Cell and atoms, written as POSCAR:
```
Bi2Sb2I
1.0
5.0372 0.0000 0.0000
0.0000 5.0372 0.0000
-2.5186 -2.5186 6.9035
Bi Sb I
2 2 1
direct
0.3737 0.3737 0.7475 Bi
0.6263 0.6263 0.2525 Bi
0.2500 0.7500 0.5000 Sb
0.7500 0.2500 0.5000 Sb
0.0000 0.0000 0.0000 I
```

Calculated values
**Size of the total moment**: 0.00 μB per cell
**E above lowest polymorph**: 0 meV/atom
**Formation energy from raw total energies**: 0.015 eV/atom
**Symmetry**: I4/mmm, No. 139
**Electronic total energy**: -3.875 eV/atom